Here is an optimized crystal structure of CaCrBrO2 from Alexandria. Energies are from PBE with a Hubbard U.

The calculation puts the density of states at the Fermi level at 0.404 states/eV/atom. The theoretical density is 3.24 g/cm3. For the total energy, the calculation gives -3.820 eV per atom. The calculation puts the size of the total moment at 5.2 μB per formula unit.

It has space group P4/mmm (No. 123), with a = 4.548 Å, b = 4.548 Å, c = 5.053 Å, α = 90.00°, β = 90.00° and γ = 90.00°. The inequivalent atoms are Ca at (0.000, 0.000, 0.000), Cr at (0.500, 0.500, 0.000), Br at (0.000, 0.000, 0.500) and O at (0.000, 0.500, 0.500).